The following is a DFT calculation (PBE) of a geometry-optimized Pu2Rh3 structure.

Computed properties:
**E_tot**: -10.482 eV/atom
**V**: 19.34 Å³/atom
**Space-group type**: R-3m, No. 166

Lattice parameters (Å, degrees): 4.5329 4.5329 6.0327 67.93 67.93 60.00
With the nearest neighbours (Å) after each atom.
Fractional coordinates of all 5 atoms:
Rh 0.8300 0.8300 0.5098  4 Rh 2.62-2.77
Rh 0.1700 0.1700 0.4902  4 Rh 2.62-2.77
Rh 0.0000 0.0000 0.0000  2 Rh 2.77, 6 Pu 2.85
Pu 0.4020 0.4020 0.7941  9 Rh 2.85-3.09
Pu 0.5980 0.5980 0.2059  9 Rh 2.85-3.09

---

The following is a DFT calculation (PBE) of a geometry-optimized Ce2ZnAg structure.

Computed properties:
**E_tot**: -4.122 eV/atom
**V**: 22.50 Å³/atom
**Space-group type**: P4/mmm, No. 123

Lattice parameters (Å, degrees): 4.6059 4.4206 4.4206 90.00 90.00 90.00
With the nearest neighbours (Å) after each atom.
Fractional coordinates of all 4 atoms:
Zn 0.5000 0.0000 0.0000  4 Ag 3.13, 8 Ce 3.19
Ce 0.0000 0.0000 0.5000  4 Ce 3.13, 4 Ag 3.19, 4 Zn 3.19
Ce 0.0000 0.5000 0.0000  4 Ce 3.13, 4 Zn 3.19, 4 Ag 3.19
Ag 0.5000 0.5000 0.5000  4 Zn 3.13, 8 Ce 3.19

---

The following is a DFT calculation (PBE) of a geometry-optimized TlAgS2 structure.

Computed properties:
**E_tot**: -3.338 eV/atom
**V**: 21.44 Å³/atom
**Space-group type**: R3m, No. 160
**Formation energy (no corrections)**: 0.030 eV per atom

Lattice parameters (Å, degrees): 3.8609 3.8609 7.0078 74.01 74.01 60.00
With the nearest neighbours (Å) after each atom.
Fractional coordinates of all 4 atoms:
Tl 0.4992 0.4992 0.5025  6 S 2.88
Ag 0.6693 0.6693 0.9920  6 S 2.65-2.73
S 0.0745 0.0745 0.7766  3 Ag 2.65, 3 Tl 2.88
S 0.2570 0.2570 0.2289  3 Ag 2.73, 3 Tl 2.88

---

The following is a DFT calculation (PBE) of a geometry-optimized LaPmY5Ho2 structure.

Computed properties:
**E_tot**: -5.421 eV/atom
**V**: 33.30 Å³/atom
**Space-group type**: I4/mcm, No. 140

Lattice parameters (Å, degrees): 8.8727 8.8727 9.8660 116.72 116.72 90.00
With the nearest neighbours (Å) after each atom.
Fractional coordinates of all 18 atoms:
Y 0.5000 0.5000 0.0000  4 Ho 3.56, 8 Y 3.77, 2 La 3.81
Y 0.5710 0.6659 0.7368  1 Ho 3.04, 1 Pm 3.12
Y 0.6659 0.1659 0.7368  1 Ho 3.04, 1 Pm 3.12
Y 0.0000 0.0000 0.0000  4 Ho 3.56, 8 Y 3.77, 2 La 3.81
Y 0.9290 0.4290 0.2632  1 Ho 3.04, 1 Pm 3.12
Y 0.1659 0.0710 0.7368  1 Ho 3.04, 1 Pm 3.12
Y 0.8341 0.9290 0.2632  1 Ho 3.04, 1 Pm 3.12
Y 0.0710 0.5710 0.7368  1 Ho 3.04, 1 Pm 3.12
Y 0.4290 0.3341 0.2632  1 Ho 3.04, 1 Pm 3.12
Y 0.3341 0.8341 0.2632  1 Ho 3.04, 1 Pm 3.12
Ho 0.8849 0.6151 0.0000  1 Ho 2.89, 2 Y 3.04
Ho 0.1151 0.3849 0.0000  1 Ho 2.89, 2 Y 3.04
Ho 0.3849 0.8849 0.0000  1 Ho 2.89, 2 Y 3.04
Ho 0.6151 0.1151 0.0000  1 Ho 2.89, 2 Y 3.04
Pm 0.7500 0.2500 0.5000  4 Y 3.12
Pm 0.2500 0.7500 0.5000  4 Y 3.12
La 0.7500 0.7500 0.5000  10 Y 3.67-3.81
La 0.2500 0.2500 0.5000  10 Y 3.67-3.81

---

The following is a DFT calculation (PBE) of a geometry-optimized BaSrY2Pt structure.

Computed properties:
**E_tot**: -4.900 eV/atom
**V**: 38.42 Å³/atom
**Space-group type**: P4/mmm, No. 123

Lattice parameters (Å, degrees): 5.5916 5.5916 6.1445 90.00 90.00 90.00
With the nearest neighbours (Å) after each atom.
Fractional coordinates of all 5 atoms:
Pt 0.0000 0.0000 0.0000  4 Y 2.80, 2 Sr 3.07
Y 0.5000 0.0000 0.0000  2 Pt 2.80
Y 0.0000 0.5000 0.0000  2 Pt 2.80
Sr 0.0000 0.0000 0.5000  2 Pt 3.07
Ba 0.5000 0.5000 0.5000  4 Sr 3.95, 8 Y 4.15

---

The following is a DFT calculation (PBE) of a geometry-optimized NaHoSnPt structure.

Computed properties:
**E_tot**: -4.674 eV/atom
**V**: 20.31 Å³/atom
**Space-group type**: F-43m, No. 216

Lattice parameters (Å, degrees): 4.8611 4.8611 4.8611 60.00 60.00 60.00
With the nearest neighbours (Å) after each atom.
Fractional coordinates of all 4 atoms:
Na 0.2500 0.2500 0.2500  4 Sn 2.98, 4 Ho 2.98
Ho 0.0000 0.0000 0.0000  4 Na 2.98, 4 Pt 2.98
Sn 0.5000 0.5000 0.5000  4 Pt 2.98, 4 Na 2.98
Pt 0.7500 0.7500 0.7500  4 Sn 2.98, 4 Ho 2.98

---

The following is a DFT calculation (PBE) of a geometry-optimized V2Re2Mo7 structure.

Computed properties:
**E_tot**: -10.560 eV/atom
**V**: 15.97 Å³/atom
**Space-group type**: C2/m, No. 12

Lattice parameters (Å, degrees): 6.7915 5.3613 5.3613 111.57 81.81 81.81
With the nearest neighbours (Å) after each atom.
Fractional coordinates of all 11 atoms:
Mo 0.8317 0.9095 0.4548  2 V 2.57-2.81, 2 Re 2.59-2.74, 3 Mo 2.65-2.78
Mo 0.4480 0.8068 0.8068  1 V 2.56, 1 Mo 2.60, 4 Re 2.71-2.73
Mo 0.5520 0.1932 0.1932  1 V 2.56, 1 Mo 2.60, 4 Re 2.71-2.73
Mo 0.1683 0.5452 0.0905  2 V 2.57-2.81, 2 Re 2.59-2.74, 3 Mo 2.65-2.78
Mo 0.8317 0.4548 0.9095  2 V 2.57-2.81, 2 Re 2.59-2.74, 3 Mo 2.65-2.78
Mo 0.0000 0.0000 0.0000  2 V 2.52, 4 Mo 2.78
Mo 0.1683 0.0905 0.5452  2 V 2.57-2.81, 2 Re 2.59-2.74, 3 Mo 2.65-2.78
Re 0.5000 0.7296 0.2704  8 Mo 2.59-2.74
Re 0.5000 0.2704 0.7296  8 Mo 2.59-2.74
V 0.8224 0.4211 0.4211  6 Mo 2.52-2.81, 1 V 2.81
V 0.1776 0.5789 0.5789  6 Mo 2.52-2.81, 1 V 2.81

---

The following is a DFT calculation (PBE) of a geometry-optimized HgAuN2 structure.

Computed properties:
**E_tot**: -3.808 eV/atom
**V**: 15.39 Å³/atom
**Space-group type**: R-3m, No. 166
**Formation energy (no corrections)**: 1.249 eV per atom

Lattice parameters (Å, degrees): 6.4942 6.4942 6.4942 30.25 30.25 30.25
With the nearest neighbours (Å) after each atom.
Fractional coordinates of all 4 atoms:
Au 0.5000 0.5000 0.5000  6 N 2.18
Hg 0.0000 0.0000 0.0000  2 N 2.13
N 0.1145 0.1145 0.1145  1 Hg 2.13, 3 Au 2.18
N 0.8855 0.8855 0.8855  1 Hg 2.13, 3 Au 2.18